Entry 1:
LuCdNi | PBE | relaxed

The calculated formation energy comes out at -0.9 eV/f.u. As for the total magnetic moment: 0.000 μB/atom.

The space group is I4mm (No. 107) and the conventional cell measures 3.4260, 3.4260 and 9.8092 Å, with angles of 90.00, 90.00 and 90.00 degrees. The inequivalent atoms are Lu at (0.0000, 0.0000, 0.0000), Cd at (0.0000, 0.0000, 0.7024) and Ni at (0.0000, 0.0000, 0.3582).

Entry 2:
Mn2GeMoH | PBE | relaxed

As for the total magnetic moment: 0.922 μB/atom.

The space group is P4/mmm (No. 123) and the conventional cell measures 3.7557, 3.7557 and 4.0248 Å, with angles of 90.00, 90.00 and 90.00 degrees. The inequivalent atoms are Mn at (0.0000, 0.5000, 0.0000), Ge at (0.0000, 0.0000, 0.5000), Mo at (0.5000, 0.5000, 0.5000) and H at (0.5000, 0.5000, 0.0000).

Entry 3:
VRe3Os | PBE | relaxed

The calculated formation energy comes out at 9.2 eV/f.u. The calculation puts the relative energy among the computed polymorphs at 0.0000 eV per atom. As for the total magnetic moment: 0.000 μB/atom.

The space group is Pm-3m (No. 221) and the conventional cell measures 4.4008, 4.4008 and 4.4008 Å, with angles of 90.00, 90.00 and 90.00 degrees. The inequivalent atoms are V at (0.0000, 0.0000, 0.0000), Re at (0.0000, 0.0000, 0.5000) and Os at (0.5000, 0.5000, 0.5000).

Entry 4:
SrTl3Se2O6 | PBE | relaxed

Its raw formation energy is -1098.9 meV/atom. As for the total magnetic moment: 0.000 μB/atom.

The space group is P-3m1 (No. 164) and the conventional cell measures 6.1414, 6.1414 and 8.1900 Å, with angles of 90.00, 90.00 and 120.00 degrees. The inequivalent atoms are Sr at (0.0000, 0.0000, 0.0000), Tl at (0.0000, 0.0000, 0.5000), Tl at (0.3333, 0.6667, 0.1937), Se at (0.3333, 0.6667, 0.7255) and O at (0.1863, 0.3726, 0.8164).

Entry 5:
AlTc4Br | PBE | relaxed

Its raw formation energy is 782.8 meV/atom. As for the total magnetic moment: 0.000 μB/atom.

The space group is F-43m (No. 216) and the conventional cell measures 7.3612, 7.3612 and 7.3612 Å, with angles of 90.00, 90.00 and 90.00 degrees. The inequivalent atoms are Al at (0.0000, 0.0000, 0.0000), Tc at (0.1243, 0.1243, 0.3757) and Br at (0.2500, 0.2500, 0.7500).

Entry 6:
TlCl | PBE | relaxed

Its raw formation energy is -853.7 meV/atom. As for the total magnetic moment: 0.000 μB/atom.

The space group is R-3m (No. 166, hexagonal axes) and the conventional cell measures 4.6626, 4.6626 and 24.7513 Å, with angles of 90.00, 90.00 and 120.00 degrees. The inequivalent atoms are Tl at (0.0000, 0.0000, 0.1121) and Cl at (0.0000, 0.0000, 0.3980).

Computed electronic total energy (eV per atom) in order:
-4.027 -7.466 -9.695 -4.890 -7.030 -2.960